Entry 1:
The following is a GGA-PBE calculation of crystalline Nb12Ga3Sn at its relaxed geometry, from Alexandria.

Lattice parameters (Å, degrees): 5.2411 5.2470 10.4261 90.00 90.00 90.00
Closest atoms and distances in Å follow each position.
Atoms (fractional coordinates):
Nb 0.0000 0.0000 0.1228  2 Nb 2.56-2.58
Nb 0.0000 0.0000 0.3703  2 Nb 2.58-2.71
Nb 0.0000 0.0000 0.6297  2 Nb 2.58-2.71
Nb 0.0000 0.0000 0.8772  2 Nb 2.56-2.58
Nb 0.2438 0.5000 0.5000  2 Nb 2.56-2.69
Nb 0.2558 0.5000 0.0000  2 Nb 2.56-2.68
Nb 0.5000 0.2534 0.2433  2 Nb 2.59-2.66, 1 Ga 2.86
Nb 0.5000 0.2534 0.7567  2 Nb 2.59-2.66, 1 Ga 2.86
Nb 0.5000 0.7466 0.2433  2 Nb 2.59-2.66, 1 Ga 2.86
Nb 0.5000 0.7466 0.7567  2 Nb 2.59-2.66, 1 Ga 2.86
Nb 0.7442 0.5000 0.0000  2 Nb 2.56-2.68
Nb 0.7562 0.5000 0.5000  2 Nb 2.56-2.69
Ga 0.0000 0.5000 0.2513  12 Nb 2.89-2.95
Ga 0.0000 0.5000 0.7487  12 Nb 2.89-2.95
Ga 0.5000 0.0000 0.0000  12 Nb 2.86-2.92
Sn 0.5000 0.0000 0.5000  12 Nb 2.95-2.99

DFT formation energy in eV per atom: -0.19
Total magnetic moment in μB per cell: 0.0

=====

Entry 2:
The following is a GGA-PBE calculation of crystalline NbGaSn2 at its relaxed geometry, from Alexandria.

Lattice parameters (Å, degrees): 3.0862 3.0862 33.9594 90.00 90.00 120.00
Closest atoms and distances in Å follow each position.
Atoms (fractional coordinates):
Nb 0.0000 0.0000 0.0000  2 Sn 2.89, 6 Nb 3.09
Nb 0.3333 0.6667 0.6667  2 Sn 2.89, 6 Nb 3.09
Nb 0.6667 0.3333 0.3333  2 Sn 2.89, 6 Nb 3.09
Ga 0.0000 0.0000 0.5000  6 Ga 3.09, 6 Sn 3.29
Ga 0.3333 0.6667 0.1667  6 Ga 3.09, 6 Sn 3.29
Ga 0.6667 0.3333 0.8333  6 Ga 3.09, 6 Sn 3.29
Sn 0.0000 0.0000 0.0852  1 Nb 2.89, 6 Sn 3.09
Sn 0.0000 0.0000 0.9148  1 Nb 2.89, 6 Sn 3.09
Sn 0.3333 0.6667 0.5815  1 Nb 2.89, 6 Sn 3.09
Sn 0.3333 0.6667 0.7518  1 Nb 2.89, 6 Sn 3.09
Sn 0.6667 0.3333 0.2482  1 Nb 2.89, 6 Sn 3.09
Sn 0.6667 0.3333 0.4185  1 Nb 2.89, 6 Sn 3.09

DFT formation energy in eV per atom: 0.41
Total magnetic moment in μB per cell: 0.0
Energy above the lowest structure with this stoichiometry in eV per atom: 0.0437

=====

Entry 3:
The following is a GGA-PBE calculation of crystalline Nb3GaSn at its relaxed geometry, from Alexandria.

Lattice parameters (Å, degrees): 5.0403 5.0403 5.0403 90.00 90.00 90.00
Closest atoms and distances in Å follow each position.
Atoms (fractional coordinates):
Nb 0.0000 0.0000 0.5000  2 Sn 2.52
Nb 0.0000 0.5000 0.0000  2 Sn 2.52
Nb 0.5000 0.0000 0.0000  2 Sn 2.52
Ga 0.5000 0.5000 0.5000  12 Nb 3.56
Sn 0.0000 0.0000 0.0000  6 Nb 2.52

DFT formation energy in eV per atom: 1.61
Total magnetic moment in μB per cell: 1.5
Energy above the lowest structure with this stoichiometry in eV per atom: 1.7217

=====

Entry 4:
The following is a GGA-PBE calculation of crystalline NbGaSn2 at its relaxed geometry, from Alexandria.

Lattice parameters (Å, degrees): 7.9149 7.9149 5.8195 90.00 90.00 90.00
Closest atoms and distances in Å follow each position.
Atoms (fractional coordinates):
Nb 0.0000 0.0000 0.0000  4 Sn 2.88, 2 Ga 2.91
Nb 0.0000 0.5000 0.2500  4 Sn 2.88, 2 Ga 2.91
Nb 0.5000 0.0000 0.7500  4 Sn 2.88, 2 Ga 2.91
Nb 0.5000 0.5000 0.5000  4 Sn 2.88, 2 Ga 2.91
Ga 0.0000 0.0000 0.5000  4 Sn 2.90, 2 Nb 2.91
Ga 0.0000 0.5000 0.7500  4 Sn 2.90, 2 Nb 2.91
Ga 0.5000 0.0000 0.2500  4 Sn 2.90, 2 Nb 2.91
Ga 0.5000 0.5000 0.0000  4 Sn 2.90, 2 Nb 2.91
Sn 0.2479 0.7500 0.1250  2 Nb 2.88, 2 Ga 2.90, 2 Sn 2.91
Sn 0.2500 0.2479 0.8750  2 Nb 2.88, 2 Ga 2.90, 2 Sn 2.91
Sn 0.2500 0.2521 0.3750  2 Nb 2.88, 2 Ga 2.90, 2 Sn 2.91
Sn 0.2521 0.7500 0.6250  2 Nb 2.88, 2 Ga 2.90, 2 Sn 2.91
Sn 0.7479 0.2500 0.6250  2 Nb 2.88, 2 Ga 2.90, 2 Sn 2.91
Sn 0.7500 0.7479 0.3750  2 Nb 2.88, 2 Ga 2.90, 2 Sn 2.91
Sn 0.7500 0.7521 0.8750  2 Nb 2.88, 2 Ga 2.90, 2 Sn 2.91
Sn 0.7521 0.2500 0.1250  2 Nb 2.88, 2 Ga 2.90, 2 Sn 2.91

DFT formation energy in eV per atom: 0.37
Total magnetic moment in μB per cell: 0.0
Energy above the lowest structure with this stoichiometry in eV per atom: 0.0000

=====

Entry 5:
The following is a GGA-PBE calculation of crystalline Nb6GaSn3 at its relaxed geometry, from Alexandria.

Lattice parameters (Å, degrees): 7.4873 7.4873 7.4873 101.18 101.18 101.18
Closest atoms and distances in Å follow each position.
Atoms (fractional coordinates):
Nb 0.0000 0.2530 0.7470  4 Nb 2.81-2.93, 4 Sn 2.87-3.05, 1 Ga 2.93
Nb 0.0000 0.7470 0.2530  4 Nb 2.81-2.93, 4 Sn 2.87-3.05, 1 Ga 2.93
Nb 0.1748 0.6091 0.6091  5 Nb 2.80-2.99, 1 Ga 2.92, 1 Sn 3.06
Nb 0.2530 0.0000 0.7470  4 Nb 2.81-2.93, 4 Sn 2.87-3.05, 1 Ga 2.93
Nb 0.2530 0.7470 0.0000  4 Nb 2.81-2.93, 4 Sn 2.87-3.05, 1 Ga 2.93
Nb 0.3909 0.3909 0.8252  5 Nb 2.80-2.99, 1 Ga 2.92, 1 Sn 3.06
Nb 0.3909 0.8252 0.3909  5 Nb 2.80-2.99, 1 Ga 2.92, 1 Sn 3.06
Nb 0.6091 0.1748 0.6091  5 Nb 2.80-2.99, 1 Ga 2.92, 1 Sn 3.06
Nb 0.6091 0.6091 0.1748  5 Nb 2.80-2.99, 1 Ga 2.92, 1 Sn 3.06
Nb 0.7470 0.0000 0.2530  4 Nb 2.81-2.93, 4 Sn 2.87-3.05, 1 Ga 2.93
Nb 0.7470 0.2530 0.0000  4 Nb 2.81-2.93, 4 Sn 2.87-3.05, 1 Ga 2.93
Nb 0.8252 0.3909 0.3909  5 Nb 2.80-2.99, 1 Ga 2.92, 1 Sn 3.06
Ga 0.0000 0.0000 0.0000  6 Nb 2.93, 6 Sn 3.15
Ga 0.5000 0.5000 0.5000  6 Nb 2.92, 6 Sn 3.08
Sn 0.1640 0.1640 0.4351  5 Nb 2.87-3.06, 2 Ga 3.08-3.15, 2 Sn 3.14
Sn 0.1640 0.4351 0.1640  5 Nb 2.87-3.06, 2 Ga 3.08-3.15, 2 Sn 3.14
Sn 0.4351 0.1640 0.1640  5 Nb 2.87-3.06, 2 Ga 3.08-3.15, 2 Sn 3.14
Sn 0.5649 0.8360 0.8360  5 Nb 2.87-3.06, 2 Ga 3.08-3.15, 2 Sn 3.14
Sn 0.8360 0.5649 0.8360  5 Nb 2.87-3.06, 2 Ga 3.08-3.15, 2 Sn 3.14
Sn 0.8360 0.8360 0.5649  5 Nb 2.87-3.06, 2 Ga 3.08-3.15, 2 Sn 3.14

DFT formation energy in eV per atom: 0.04
Total magnetic moment in μB per cell: 0.0

=====

Entry 6:
The following is a GGA-PBE calculation of crystalline YNbGaSn2 at its relaxed geometry, from Alexandria.

Lattice parameters (Å, degrees): 5.3087 5.3087 4.9834 90.00 90.00 90.00
Closest atoms and distances in Å follow each position.
Atoms (fractional coordinates):
Y 0.0000 0.0000 0.0000  8 Sn 3.64, 4 Ga 3.75
Nb 0.5000 0.5000 0.5000  2 Ga 2.49, 4 Sn 2.65
Ga 0.5000 0.5000 0.0000  2 Nb 2.49
Sn 0.0000 0.5000 0.5000  2 Nb 2.65
Sn 0.5000 0.0000 0.5000  2 Nb 2.65

DFT formation energy in eV per atom: 0.14
Total magnetic moment in μB per cell: 0.0

=====

Entry 7:
The following is a GGA-PBE calculation of crystalline ZrNbGaSn2 at its relaxed geometry, from Alexandria.

Lattice parameters (Å, degrees): 5.0705 5.0705 4.8431 90.00 90.00 90.00
Closest atoms and distances in Å follow each position.
Atoms (fractional coordinates):
Zr 0.0000 0.0000 0.0000  8 Sn 3.51, 4 Nb 3.59
Nb 0.5000 0.5000 0.0000  2 Ga 2.42
Ga 0.5000 0.5000 0.5000  2 Nb 2.42, 4 Sn 2.54
Sn 0.0000 0.5000 0.5000  2 Ga 2.54
Sn 0.5000 0.0000 0.5000  2 Ga 2.54

DFT formation energy in eV per atom: 0.81
Total magnetic moment in μB per cell: 0.0

=====

Entry 8:
The following is a GGA-PBE calculation of crystalline SrNbGa3 at its relaxed geometry, from Alexandria.

Lattice parameters (Å, degrees): 5.0666 5.0666 5.0666 90.00 90.00 90.00
Closest atoms and distances in Å follow each position.
Atoms (fractional coordinates):
Sr 0.0000 0.0000 0.0000  12 Ga 3.58
Nb 0.5000 0.5000 0.5000  6 Ga 2.53
Ga 0.0000 0.5000 0.5000  2 Nb 2.53
Ga 0.5000 0.0000 0.5000  2 Nb 2.53
Ga 0.5000 0.5000 0.0000  2 Nb 2.53

DFT formation energy in eV per atom: -0.15
Total magnetic moment in μB per cell: 0.0
Energy above the lowest structure with this stoichiometry in eV per atom: 0.0000

=====

Entry 9:
The following is a GGA-PBE calculation of crystalline SrNbGa3 at its relaxed geometry, from Alexandria.

Lattice parameters (Å, degrees): 5.3067 5.3067 5.3067 90.00 90.00 90.00
Closest atoms and distances in Å follow each position.
Atoms (fractional coordinates):
Sr 0.0000 0.0000 0.0000  6 Ga 2.65
Nb 0.5000 0.5000 0.5000  12 Ga 3.75
Ga 0.0000 0.0000 0.5000  2 Sr 2.65
Ga 0.0000 0.5000 0.0000  2 Sr 2.65
Ga 0.5000 0.0000 0.0000  2 Sr 2.65

DFT formation energy in eV per atom: 1.68
Total magnetic moment in μB per cell: 0.0
Energy above the lowest structure with this stoichiometry in eV per atom: 1.8324

=====

Entry 10:
The following is a GGA-PBE calculation of crystalline Ta6Nb2Ga at its relaxed geometry, from Alexandria.

Lattice parameters (Å, degrees): 7.7483 7.7483 4.4224 106.42 106.42 47.78
Closest atoms and distances in Å follow each position.
Atoms (fractional coordinates):
Ta 0.0871 0.5820 0.3349  1 Ga 2.72, 3 Nb 2.72-2.75
Ta 0.2478 0.7522 0.0000  2 Ga 2.72, 2 Nb 2.73
Ta 0.4180 0.9129 0.6651  1 Ga 2.72, 3 Nb 2.72-2.75
Ta 0.5820 0.0871 0.3349  1 Ga 2.72, 3 Nb 2.72-2.75
Ta 0.7522 0.2478 0.0000  2 Ga 2.72, 2 Nb 2.73
Ta 0.9129 0.4180 0.6651  1 Ga 2.72, 3 Nb 2.72-2.75
Nb 0.1661 0.1661 0.1658  8 Ta 2.72-2.75
Nb 0.8339 0.8339 0.8342  8 Ta 2.72-2.75
Ga 0.5000 0.5000 0.5000  8 Ta 2.72

DFT formation energy in eV per atom: 0.71
Total magnetic moment in μB per cell: 0.0

=====

Entry 11:
The following is a GGA-PBE calculation of crystalline TaNb2Ga at its relaxed geometry, from Alexandria.

Lattice parameters (Å, degrees): 4.4519 4.4519 3.5283 90.00 90.00 90.00
Closest atoms and distances in Å follow each position.
Atoms (fractional coordinates):
Ta 0.0000 0.0000 0.0000  8 Nb 2.84, 4 Ga 3.15
Nb 0.0000 0.5000 0.5000  4 Ta 2.84, 4 Ga 2.84, 4 Nb 3.15
Nb 0.5000 0.0000 0.5000  4 Ta 2.84, 4 Ga 2.84, 4 Nb 3.15
Ga 0.5000 0.5000 0.0000  8 Nb 2.84, 4 Ta 3.15

DFT formation energy in eV per atom: -0.18
Total magnetic moment in μB per cell: 0.0

=====

Entry 12:
The following is a GGA-PBE calculation of crystalline TaNb2Ga at its relaxed geometry, from Alexandria.

Lattice parameters (Å, degrees): 3.4019 3.4019 6.0462 90.00 90.00 90.00
Closest atoms and distances in Å follow each position.
Atoms (fractional coordinates):
Ta 0.0000 0.0000 0.0000  8 Nb 2.87, 2 Ga 3.02
Nb 0.5000 0.5000 0.2589  4 Ga 2.81, 4 Ta 2.87, 2 Nb 2.92-3.13
Nb 0.5000 0.5000 0.7411  4 Ga 2.81, 4 Ta 2.87, 2 Nb 2.92-3.13
Ga 0.0000 0.0000 0.5000  8 Nb 2.81, 2 Ta 3.02

DFT formation energy in eV per atom: -0.21
Total magnetic moment in μB per cell: 0.0

=====

| no. | mass density (Mg/m³) | total energy (eV per cell) |
| --- | --- | --- |
| 1 | 8.36 | -136.927 |
| 2 | 7.11 | -58.401 |
| 3 | 6.06 | -29.189 |
| 4 | 7.29 | -78.567 |
| 5 | 8.33 | -150.134 |
| 6 | 5.78 | -26.870 |
| 7 | 6.55 | -25.611 |
| 8 | 4.98 | -21.595 |
| 9 | 4.33 | -12.434 |
| 10 | 11.91 | -87.910 |
| 11 | 10.36 | -35.738 |
| 12 | 10.36 | -35.847 |